1.
Material: Fe2SiBr
Method: DFT, PBE-GGA
State: optimized geometry

a = 3.7371 Å, b = 3.7371 Å, c = 17.1697 Å
α = 90.00°, β = 90.00°, γ = 120.00°
Space group R-3m (No. 166, hexagonal axes)
Unique sites:
Fe1 0.0000 0.0000 0.2133 (multiplicity 6)
Si1 0.0000 0.0000 0.5000 (multiplicity 3)
Br1 0.0000 0.0000 0.0000 (multiplicity 3)

**Excess energy over the best structure of this formula in the dataset**: 136 meV/atom
**Calculated density**: 5.27 g cm⁻³
**Energy**: -23.17 eV/f.u.
**M_tot**: 13.05 Bohr magnetons per cell



2.
Material: Na2TeRh2S6
Method: DFT, PBE-GGA
State: optimized geometry

a = 6.2698 Å, b = 11.0893 Å, c = 6.9982 Å
α = 90.00°, β = 106.97°, γ = 90.00°
Space group C2/m (No. 12)
Unique sites:
Na1 0.0000 0.1589 0.0000 (multiplicity 4)
Te1 0.0000 0.0000 0.5000 (multiplicity 2)
Rh1 0.0000 0.3328 0.5000 (multiplicity 4)
S1 0.2035 0.5000 0.7025 (multiplicity 4)
S2 0.2413 0.1817 0.6969 (multiplicity 8)

**Calculated density**: 4.08 g cm⁻³
**Energy**: -50.89 eV/f.u.
**M_tot**: 0.00 Bohr magnetons per cell



3.
Material: TbY3Ga2
Method: DFT, PBE-GGA
State: optimized geometry

a = 4.9584 Å, b = 9.5155 Å, c = 6.6135 Å
α = 90.00°, β = 90.00°, γ = 90.00°
Space group Pmc2_1 (No. 26)
Unique sites:
Tb1 0.0000 0.0504 0.0000 (multiplicity 2)
Y1 0.0000 0.3208 0.6359 (multiplicity 2)
Y2 0.5000 0.1801 0.2926 (multiplicity 2)
Y3 0.5000 0.4485 0.9293 (multiplicity 2)
Ga1 0.0000 0.3606 0.1740 (multiplicity 2)
Ga2 0.5000 0.1395 0.7552 (multiplicity 2)

**Excess energy over the best structure of this formula in the dataset**: 0 meV/atom
**Calculated density**: 6.01 g cm⁻³
**Energy**: -32.74 eV/f.u.
**Formation energy from the elements**: -257 kJ/mol of formula units
**M_tot**: 0.00 Bohr magnetons per cell



4.
Material: TiCd3Ag
Method: DFT, PBE-GGA
State: optimized geometry

a = 5.3794 Å, b = 5.3794 Å, c = 5.3794 Å
α = 90.00°, β = 90.00°, γ = 90.00°
Space group Pm-3m (No. 221)
Unique sites:
Ti1 0.0000 0.0000 0.0000 (multiplicity 1)
Cd1 0.0000 0.0000 0.5000 (multiplicity 3)
Ag1 0.5000 0.5000 0.5000 (multiplicity 1)

**Excess energy over the best structure of this formula in the dataset**: 118 meV/atom
**Calculated density**: 5.26 g cm⁻³
**Energy**: -9.12 eV/f.u.
**Formation energy from the elements**: 421 kJ/mol of formula units
**M_tot**: 2.52 Bohr magnetons per cell



5.
Material: Tb4Sm2Ho3
Method: DFT, PBE-GGA
State: optimized geometry

a = 16.2071 Å, b = 11.6159 Å, c = 6.1419 Å
α = 90.00°, β = 95.98°, γ = 90.00°
Space group C2/c (No. 15)
Unique sites:
Tb1 0.0467 0.1411 0.0143 (multiplicity 8)
Tb2 0.2147 0.3600 0.8475 (multiplicity 8)
Sm1 0.1212 0.3570 0.3209 (multiplicity 8)
Ho1 0.0000 0.4023 0.7500 (multiplicity 4)
Ho2 0.1657 0.0977 0.5896 (multiplicity 8)

**Calculated density**: 8.27 g cm⁻³
**Energy**: -40.86 eV/f.u.
**Formation energy from the elements**: 81 kJ/mol of formula units
**M_tot**: 0.00 Bohr magnetons per cell



6.
Material: Lu2HfAl
Method: DFT, PBE-GGA
State: optimized geometry

a = 4.5025 Å, b = 4.5025 Å, c = 4.5620 Å
α = 90.00°, β = 90.00°, γ = 90.00°
Space group P4/mmm (No. 123)
Unique sites:
Lu1 0.0000 0.5000 0.0000 (multiplicity 2)
Hf1 0.0000 0.0000 0.5000 (multiplicity 1)
Al1 0.5000 0.5000 0.5000 (multiplicity 1)

**Excess energy over the best structure of this formula in the dataset**: 24 meV/atom
**Calculated density**: 9.97 g cm⁻³
**Energy**: -23.27 eV/f.u.
**Formation energy from the elements**: -52 kJ/mol of formula units
**M_tot**: 0.00 Bohr magnetons per cell



7.
Material: MgTi2Zn2
Method: DFT, PBE-GGA
State: optimized geometry

a = 7.2693 Å, b = 7.2693 Å, c = 3.2100 Å
α = 90.00°, β = 90.00°, γ = 90.00°
Space group P4/mbm (No. 127)
Unique sites:
Mg1 0.0000 0.0000 0.0000 (multiplicity 2)
Ti1 0.1708 0.3292 0.5000 (multiplicity 4)
Zn1 0.1263 0.6263 0.0000 (multiplicity 4)

**Excess energy over the best structure of this formula in the dataset**: 0 meV/atom
**Calculated density**: 4.91 g cm⁻³
**Energy**: -20.20 eV/f.u.
**Formation energy from the elements**: -26 kJ/mol of formula units
**M_tot**: 0.00 Bohr magnetons per cell



8.
Material: YAl6Fe6
Method: DFT, PBE-GGA
State: optimized geometry

a = 4.9873 Å, b = 8.5039 Å, c = 8.6332 Å
α = 90.00°, β = 90.00°, γ = 90.00°
Space group Immm (No. 71)
Unique sites:
Y1 0.0000 0.0000 0.0000 (multiplicity 2)
Al1 0.0000 0.0000 0.3466 (multiplicity 4)
Al2 0.0000 0.3373 0.0000 (multiplicity 4)
Al3 0.0000 0.5000 0.3076 (multiplicity 4)
Fe1 0.0000 0.2599 0.5000 (multiplicity 4)
Fe2 0.2500 0.2500 0.2500 (multiplicity 8)

**Calculated density**: 5.31 g cm⁻³
**Energy**: -84.69 eV/f.u.
**Formation energy from the elements**: -482 kJ/mol of formula units
**M_tot**: 20.21 Bohr magnetons per cell